No. 1
Material: PrGaAs
Method: DFT, PBE
State: relaxed

The size of the total moment is 0.01 Bohr magnetons per cell. Its energy above the most stable polymorph in this dataset is 0 meV/atom.

The structure belongs to space group F-43m (No. 216); the cell edges are 6.812, 6.812 and 6.812 Å and the angles 90.00°, 90.00° and 90.00°. The distinct sites, in fractional coordinates, are Pr at (0.000, 0.000, 0.000), Ga at (0.250, 0.250, 0.750) and As at (0.000, 0.000, 0.500).

---

No. 2
Material: GaAsPt
Method: DFT, PBE
State: relaxed

The size of the total moment is 0.00 Bohr magnetons per cell. The total energy is -4.98 eV per atom.

The structure belongs to space group F-43m (No. 216); the cell edges are 6.075, 6.075 and 6.075 Å and the angles 90.00°, 90.00° and 90.00°. The distinct sites, in fractional coordinates, are Ga at (0.000, 0.000, 0.000), As at (0.000, 0.000, 0.500) and Pt at (0.250, 0.250, 0.750).

---

No. 3
Material: PuGaAs
Method: DFT, PBE
State: relaxed

The size of the total moment is 22.36 Bohr magnetons per cell. Its energy above the most stable polymorph in this dataset is 55 meV/atom.

The structure belongs to space group F-43m (No. 216); the cell edges are 6.502, 6.502 and 6.502 Å and the angles 90.00°, 90.00° and 90.00°. The distinct sites, in fractional coordinates, are Pu at (0.000, 0.000, 0.000), Ga at (0.250, 0.250, 0.250) and As at (0.250, 0.250, 0.750).

---

No. 4
Material: PuGaAs
Method: DFT, PBE
State: relaxed

The size of the total moment is 23.40 Bohr magnetons per cell. Its energy above the most stable polymorph in this dataset is 0 meV/atom.

The structure belongs to space group F-43m (No. 216); the cell edges are 6.639, 6.639 and 6.639 Å and the angles 90.00°, 90.00° and 90.00°. The distinct sites, in fractional coordinates, are Pu at (0.000, 0.000, 0.000), Ga at (0.000, 0.000, 0.500) and As at (0.250, 0.250, 0.750).

---

No. 5
Material: GaTcAs
Method: DFT, PBE
State: relaxed

The size of the total moment is 0.03 Bohr magnetons per cell. Its energy above the most stable polymorph in this dataset is 265 meV/atom.

The structure belongs to space group F-43m (No. 216); the cell edges are 5.958, 5.958 and 5.958 Å and the angles 90.00°, 90.00° and 90.00°. The distinct sites, in fractional coordinates, are Ga at (0.000, 0.000, 0.000), Tc at (0.000, 0.000, 0.500) and As at (0.250, 0.250, 0.250).

---

No. 6
Material: GaTcAs
Method: DFT, PBE
State: relaxed

The size of the total moment is 0.02 Bohr magnetons per cell. Its energy above the most stable polymorph in this dataset is 0 meV/atom.

The structure belongs to space group F-43m (No. 216); the cell edges are 5.986, 5.986 and 5.986 Å and the angles 90.00°, 90.00° and 90.00°. The distinct sites, in fractional coordinates, are Ga at (0.000, 0.000, 0.000), Tc at (0.250, 0.250, 0.250) and As at (0.000, 0.000, 0.500).

---

No. 7
Material: ThGaAs
Method: DFT, PBE
State: relaxed

The size of the total moment is 0.01 Bohr magnetons per cell. Its energy above the most stable polymorph in this dataset is 73 meV/atom.

The structure belongs to space group F-43m (No. 216); the cell edges are 6.726, 6.726 and 6.726 Å and the angles 90.00°, 90.00° and 90.00°. The distinct sites, in fractional coordinates, are Th at (0.000, 0.000, 0.000), Ga at (0.250, 0.250, 0.750) and As at (0.000, 0.000, 0.500).

---

No. 8
Material: ThGaAs
Method: DFT, PBE
State: relaxed

The size of the total moment is 0.03 Bohr magnetons per cell. Its energy above the most stable polymorph in this dataset is 0 meV/atom.

The structure belongs to space group F-43m (No. 216); the cell edges are 6.930, 6.930 and 6.930 Å and the angles 90.00°, 90.00° and 90.00°. The distinct sites, in fractional coordinates, are Th at (0.000, 0.000, 0.000), Ga at (0.250, 0.250, 0.250) and As at (0.250, 0.250, 0.750).

---

No. 9
Material: TmGaAs
Method: DFT, PBE
State: relaxed

The size of the total moment is 0.00 Bohr magnetons per cell. Its energy above the most stable polymorph in this dataset is 0 meV/atom.

The structure belongs to space group F-43m (No. 216); the cell edges are 6.694, 6.694 and 6.694 Å and the angles 90.00°, 90.00° and 90.00°. The distinct sites, in fractional coordinates, are Tm at (0.000, 0.000, 0.000), Ga at (0.250, 0.250, 0.250) and As at (0.250, 0.250, 0.750).

---

No. 10
Material: TmGaAs
Method: DFT, PBE
State: relaxed

The size of the total moment is 0.01 Bohr magnetons per cell. Its energy above the most stable polymorph in this dataset is 88 meV/atom.

The structure belongs to space group F-43m (No. 216); the cell edges are 6.615, 6.615 and 6.615 Å and the angles 90.00°, 90.00° and 90.00°. The distinct sites, in fractional coordinates, are Tm at (0.000, 0.000, 0.000), Ga at (0.250, 0.250, 0.750) and As at (0.000, 0.000, 0.500).

---

No. 11
Material: ZnGaAs
Method: DFT, PBE
State: relaxed

The total energy is -2.92 eV per atom.

The structure belongs to space group F-43m (No. 216); the cell edges are 6.352, 6.352 and 6.352 Å and the angles 90.00°, 90.00° and 90.00°. The distinct sites, in fractional coordinates, are Zn at (0.000, 0.000, 0.000), Ga at (0.000, 0.000, 0.500) and As at (0.250, 0.250, 0.750).

---

No. 12
Material: Zr3GaAs
Method: DFT, PBE
State: relaxed

The size of the total moment is 0.04 Bohr magnetons per cell. The total energy is -7.32 eV per atom.

The structure belongs to space group Cmcm (No. 63); the cell edges are 3.944, 10.697 and 9.999 Å and the angles 90.00°, 90.00° and 90.00°. The distinct sites, in fractional coordinates, are Zr at (0.000, 0.062, 0.250), Zr at (0.000, 0.349, 0.074), Ga at (0.000, 0.245, 0.750) and As at (0.000, 0.000, 0.000).

---

Calculated volume
In order: 26.34 18.68 22.90 24.39 17.63 17.88 25.36 27.73 25.00 24.12 21.36 21.09
Unit: Å³ per atom